Record 1
Density functional theory data (PBEsol) for a relaxed BeRh3 crystal.

Cell lengths 2.669, 4.178, 4.477 Å; angles 90.00, 90.00, 90.00 degrees
Space group Pmm2 (No. 25)
Asymmetric unit:
Be1 0.000 0.000 0.000 (multiplicity 1)
Rh1 0.000 0.500 0.343 (multiplicity 1)
Rh2 0.500 0.000 0.506 (multiplicity 1)
Rh3 0.500 0.500 0.857 (multiplicity 1)

Record 2
Density functional theory data (PBEsol) for a relaxed Re4POs crystal.

Cell lengths 7.207, 7.207, 7.207 Å; angles 90.00, 90.00, 90.00 degrees
Space group F-43m (No. 216)
Asymmetric unit:
Re1 0.125 0.125 0.125 (multiplicity 16)
P1 0.000 0.000 0.500 (multiplicity 4)
Os1 0.250 0.250 0.750 (multiplicity 4)

Record 3
Density functional theory data (PBEsol) for a relaxed NaGe2Pt2 crystal.

Cell lengths 5.576, 6.670, 5.712 Å; angles 90.00, 118.86, 90.00 degrees
Space group C2/m (No. 12)
Asymmetric unit:
Na1 0.000 0.000 0.000 (multiplicity 2)
Ge1 0.128 0.500 0.258 (multiplicity 4)
Pt1 0.000 0.249 0.500 (multiplicity 4)

Record 4
Density functional theory data (PBEsol) for a relaxed Si2NiRh crystal.

Values from the calculation:
Formation energy from raw total energies in eV/f.u.: -2.681

Cell lengths 3.167, 3.167, 4.904 Å; angles 90.00, 90.00, 90.00 degrees
Space group P4mm (No. 99)
Asymmetric unit:
Si1 0.000 0.000 0.000 (multiplicity 1)
Si2 0.500 0.500 0.311 (multiplicity 1)
Ni1 0.000 0.000 0.470 (multiplicity 1)
Rh1 0.500 0.500 0.810 (multiplicity 1)

Record 5
Density functional theory data (PBEsol) for a relaxed AlZn2Cu crystal.

Cell lengths 3.225, 3.225, 5.256 Å; angles 90.00, 90.00, 90.00 degrees
Space group P4mm (No. 99)
Asymmetric unit:
Al1 0.000 0.000 0.000 (multiplicity 1)
Zn1 0.000 0.000 0.487 (multiplicity 1)
Zn2 0.500 0.500 0.732 (multiplicity 1)
Cu1 0.500 0.500 0.235 (multiplicity 1)

Record 6
Density functional theory data (PBEsol) for a relaxed InAg3 crystal.

Cell lengths 5.186, 9.421, 5.801 Å; angles 90.00, 90.00, 90.00 degrees
Space group Pnma (No. 62)
Asymmetric unit:
In1 0.075 0.250 0.108 (multiplicity 4)
Ag1 0.079 0.250 0.620 (multiplicity 4)
Ag2 0.246 0.000 0.369 (multiplicity 8)

Theoretical density per entry: 10.6, 17.1, 10.0, 7.3, 6.7, 10.3 g cm⁻³
Raw total energy per entry: -7.205, -10.916, -5.496, -7.118, -2.934, -3.275 eV/atom